A relaxed LuVCo4 crystal. Source: Alexandria via LeMat-Bulk, functional PBE-GGA.

- Energy relative to the elements: -54 kJ/mol of formula units
- DOS at the Fermi energy: 1.446 states/eV per atom
- M_tot: 0.3409 μB per atom
- Calculated total energy: -7.10 eV per atom

a = 6.839 Å, b = 6.839 Å, c = 6.839 Å
α = 90.00°, β = 90.00°, γ = 90.00°
Space group F-43m (No. 216)
One atom of each set of equivalent atoms:
1 Lu 0.000 0.000 0.000 [4 per cell]
2 V 0.250 0.250 0.750 [4 per cell]
3 Co 0.125 0.125 0.375 [16 per cell]